[1]
BaMg2Br at its PBEsol-relaxed geometry, computed with SCAN.

abc: 5.1757 5.1757 9.4154
angles: 90.00 90.00 90.00
Fractional coordinates of all 8 atoms:
Ba (0.0000, 0.0000, 0.0000)
Ba (0.5000, 0.5000, 0.5000)
Mg (0.0000, 0.0000, 0.5000)
Mg (0.0000, 0.5000, 0.7500)
Mg (0.5000, 0.0000, 0.2500)
Mg (0.5000, 0.5000, 0.0000)
Br (0.0000, 0.5000, 0.2500)
Br (0.5000, 0.0000, 0.7500)

Results
**SG**: I-4m2 (119)
**Formation energy from raw total energies**: -9.73 kcal/mol of atoms
**Energy above the most stable polymorph in this dataset**: 0.59 eV per formula unit
**Raw total energy**: -141.3 eV for the cell shown

***

[2]
BaMgBr2 at its PBEsol-relaxed geometry, computed with SCAN.

abc: 7.9730 7.9730 7.9730
angles: 90.00 90.00 90.00
Fractional coordinates of all 16 atoms:
Ba (0.0000, 0.0000, 0.0000)
Ba (0.0000, 0.5000, 0.5000)
Ba (0.5000, 0.0000, 0.5000)
Ba (0.5000, 0.5000, 0.0000)
Mg (0.2500, 0.2500, 0.7500)
Mg (0.2500, 0.7500, 0.2500)
Mg (0.7500, 0.2500, 0.2500)
Mg (0.7500, 0.7500, 0.7500)
Br (0.0000, 0.0000, 0.5000)
Br (0.0000, 0.5000, 0.0000)
Br (0.2500, 0.2500, 0.2500)
Br (0.2500, 0.7500, 0.7500)
Br (0.5000, 0.0000, 0.0000)
Br (0.5000, 0.5000, 0.5000)
Br (0.7500, 0.2500, 0.7500)
Br (0.7500, 0.7500, 0.2500)

Results
**SG**: F-43m (216)
**Formation energy from raw total energies**: -24.80 kcal/mol of atoms
**Energy above the most stable polymorph in this dataset**: 1.11 eV per formula unit
**Raw total energy**: -351.0 eV for the cell shown

***

[3]
BaMn2Br at its PBEsol-relaxed geometry, computed with SCAN.

abc: 3.6883 3.6883 7.5311
angles: 90.00 90.00 90.00
Fractional coordinates of all 4 atoms:
Ba (0.0000, 0.0000, 0.0000)
Mn (0.5000, 0.5000, 0.3185)
Mn (0.5000, 0.5000, 0.6815)
Br (0.0000, 0.0000, 0.5000)

Results
**SG**: P4/mmm (123)
**Formation energy from raw total energies**: 2.62 kcal/mol of atoms
**Energy above the most stable polymorph in this dataset**: 1.08 eV per formula unit
**Raw total energy**: -95.1 eV for the cell shown

***

[4]
BaMnBr2 at its PBEsol-relaxed geometry, computed with SCAN.

abc: 5.2093 5.2093 8.4585
angles: 90.00 90.00 90.00
Fractional coordinates of all 8 atoms:
Ba (0.0000, 0.0000, 0.0000)
Ba (0.5000, 0.5000, 0.5000)
Mn (0.0000, 0.0000, 0.5000)
Mn (0.5000, 0.5000, 0.0000)
Br (0.0000, 0.5000, 0.2500)
Br (0.0000, 0.5000, 0.7500)
Br (0.5000, 0.0000, 0.2500)
Br (0.5000, 0.0000, 0.7500)

Results
**SG**: I4/mmm (139)
**Formation energy from raw total energies**: -24.71 kcal/mol of atoms
**Energy above the most stable polymorph in this dataset**: 0.13 eV per formula unit
**Raw total energy**: -202.0 eV for the cell shown

***

[5]
BaMnBr2 at its PBEsol-relaxed geometry, computed with SCAN.

abc: 4.7162 4.7162 26.7358
angles: 90.00 90.00 120.00
Fractional coordinates of all 12 atoms:
Ba (0.0000, 0.0000, 0.0000)
Ba (0.3333, 0.6667, 0.6667)
Ba (0.6667, 0.3333, 0.3333)
Mn (0.0000, 0.0000, 0.5000)
Mn (0.3333, 0.6667, 0.1667)
Mn (0.6667, 0.3333, 0.8333)
Br (0.0000, 0.0000, 0.2717)
Br (0.0000, 0.0000, 0.7283)
Br (0.3333, 0.6667, 0.3950)
Br (0.3333, 0.6667, 0.9383)
Br (0.6667, 0.3333, 0.0617)
Br (0.6667, 0.3333, 0.6050)

Results
**SG**: R-3m (166)
**Formation energy from raw total energies**: -23.69 kcal/mol of atoms
**Energy above the most stable polymorph in this dataset**: 0.31 eV per formula unit
**Raw total energy**: -302.5 eV for the cell shown

***

[6]
BaMn2Br at its PBEsol-relaxed geometry, computed with SCAN.

abc: 3.4535 5.2349 11.1956
angles: 90.00 90.00 90.00
Fractional coordinates of all 8 atoms:
Ba (0.0000, 0.0000, 0.0000)
Ba (0.5000, 0.5000, 0.5000)
Mn (0.0000, 0.5000, 0.2319)
Mn (0.0000, 0.5000, 0.7681)
Mn (0.5000, 0.0000, 0.2681)
Mn (0.5000, 0.0000, 0.7319)
Br (0.0000, 0.0000, 0.5000)
Br (0.5000, 0.5000, 0.0000)

Results
**SG**: Immm (71)
**Formation energy from raw total energies**: -3.59 kcal/mol of atoms
**Energy above the most stable polymorph in this dataset**: 0.00 eV per formula unit
**Raw total energy**: -192.3 eV for the cell shown

***

[7]
BaMnBr2 at its PBEsol-relaxed geometry, computed with SCAN.

abc: 4.1026 4.1026 6.9302
angles: 90.00 90.00 90.00
Fractional coordinates of all 4 atoms:
Ba (0.0000, 0.0000, 0.0000)
Mn (0.5000, 0.5000, 0.6330)
Br (0.0000, 0.0000, 0.5402)
Br (0.5000, 0.5000, 0.2373)

Results
**SG**: P4mm (99)
**Formation energy from raw total energies**: -25.46 kcal/mol of atoms
**Energy above the most stable polymorph in this dataset**: 0.00 eV per formula unit
**Raw total energy**: -101.1 eV for the cell shown

***

[8]
BaMnBr2 at its PBEsol-relaxed geometry, computed with SCAN.

abc: 5.1097 5.1097 4.2525
angles: 90.00 90.00 90.00
Fractional coordinates of all 4 atoms:
Ba (0.0000, 0.0000, 0.0000)
Mn (0.5000, 0.5000, 0.0000)
Br (0.0000, 0.5000, 0.5000)
Br (0.5000, 0.0000, 0.5000)

Results
**SG**: P4/mmm (123)
**Formation energy from raw total energies**: -24.24 kcal/mol of atoms
**Energy above the most stable polymorph in this dataset**: 0.21 eV per formula unit
**Raw total energy**: -100.9 eV for the cell shown

***

[9]
Ba2MnPtBr at its PBEsol-relaxed geometry, computed with SCAN.

abc: 6.0105 6.0105 4.4404
angles: 90.00 90.00 90.00
Fractional coordinates of all 5 atoms:
Ba (0.0000, 0.5000, 0.0000)
Ba (0.5000, 0.0000, 0.0000)
Mn (0.0000, 0.0000, 0.5000)
Pt (0.5000, 0.5000, 0.5000)
Br (0.0000, 0.0000, 0.0000)

Results
**SG**: P4/mmm (123)
**Formation energy from raw total energies**: -2.70 kcal/mol of atoms
**Raw total energy**: -187.6 eV for the cell shown

***

[10]
BaMnSe2Br at its PBEsol-relaxed geometry, computed with SCAN.

abc: 5.9066 5.9066 5.9596
angles: 90.00 90.00 90.00
Fractional coordinates of all 5 atoms:
Ba (0.0000, 0.0000, 0.0000)
Mn (0.5000, 0.5000, 0.5000)
Se (0.0000, 0.5000, 0.0000)
Se (0.5000, 0.0000, 0.0000)
Br (0.0000, 0.0000, 0.5000)

Results
**SG**: P4/mmm (123)
**Formation energy from raw total energies**: -2.39 kcal/mol of atoms
**Raw total energy**: -117.9 eV for the cell shown

***

[11]
BaMo2Br at its PBEsol-relaxed geometry, computed with SCAN.

abc: 12.6618 3.2645 5.5424
angles: 90.00 114.72 90.00
Fractional coordinates of all 8 atoms:
Ba (0.0000, 0.0000, 0.0000)
Ba (0.5000, 0.5000, 0.0000)
Mo (0.2179, 0.0000, 0.6033)
Mo (0.2821, 0.5000, 0.3967)
Mo (0.7179, 0.5000, 0.6033)
Mo (0.7821, 0.0000, 0.3967)
Br (0.0000, 0.5000, 0.5000)
Br (0.5000, 0.0000, 0.5000)

Results
**SG**: C2/m (12)
**Formation energy from raw total energies**: 10.60 kcal/mol of atoms
**Energy above the most stable polymorph in this dataset**: 1.30 eV per formula unit
**Raw total energy**: -253.9 eV for the cell shown

***

[12]
BaMo2Br at its PBEsol-relaxed geometry, computed with SCAN.

abc: 3.3074 3.3074 8.3517
angles: 90.00 90.00 90.00
Fractional coordinates of all 4 atoms:
Ba (0.0000, 0.0000, 0.0000)
Mo (0.0000, 0.0000, 0.5552)
Mo (0.5000, 0.5000, 0.6891)
Br (0.5000, 0.5000, 0.2825)

Results
**SG**: P4mm (99)
**Formation energy from raw total energies**: 5.39 kcal/mol of atoms
**Energy above the most stable polymorph in this dataset**: 0.40 eV per formula unit
**Raw total energy**: -127.8 eV for the cell shown

***

[13]
BaMo3Br at its PBEsol-relaxed geometry, computed with SCAN.

abc: 4.9927 4.9927 4.9927
angles: 90.00 90.00 90.00
Fractional coordinates of all 5 atoms:
Ba (0.0000, 0.0000, 0.0000)
Mo (0.0000, 0.0000, 0.5000)
Mo (0.0000, 0.5000, 0.0000)
Mo (0.5000, 0.0000, 0.0000)
Br (0.5000, 0.5000, 0.5000)

Results
**SG**: Pm-3m (221)
**Formation energy from raw total energies**: 78.14 kcal/mol of atoms
**Raw total energy**: -146.7 eV for the cell shown

***

[14]
BaMoBr2 at its PBEsol-relaxed geometry, computed with SCAN.

abc: 4.4479 4.4479 11.7653
angles: 90.00 90.00 90.00
Fractional coordinates of all 8 atoms:
Ba (0.0000, 0.0000, 0.0000)
Ba (0.5000, 0.5000, 0.5000)
Mo (0.0000, 0.5000, 0.7500)
Mo (0.5000, 0.0000, 0.2500)
Br (0.0000, 0.0000, 0.5000)
Br (0.0000, 0.5000, 0.2500)
Br (0.5000, 0.0000, 0.7500)
Br (0.5000, 0.5000, 0.0000)

Results
**SG**: I-4m2 (119)
**Formation energy from raw total energies**: -7.52 kcal/mol of atoms
**Energy above the most stable polymorph in this dataset**: 0.11 eV per formula unit
**Raw total energy**: -229.3 eV for the cell shown

***

[15]
BaMo2Br at its PBEsol-relaxed geometry, computed with SCAN.

abc: 3.3885 3.2807 8.4139
angles: 90.00 99.49 90.00
Fractional coordinates of all 4 atoms:
Ba (0.0000, 0.0000, 0.0000)
Mo (0.3524, 0.5000, 0.6919)
Mo (0.7495, 0.0000, 0.5569)
Br (0.6196, 0.5000, 0.2870)

Results
**SG**: Pm (6)
**Formation energy from raw total energies**: 3.08 kcal/mol of atoms
**Energy above the most stable polymorph in this dataset**: 0.00 eV per formula unit
**Raw total energy**: -128.2 eV for the cell shown